Material: TaNi3
Method: DFT, PBE
State: optimized geometry

Structure (POSCAR):
```
TaNi3
1.0
-1.2670 -2.0951 -3.4725
-0.5112 -3.7958 2.4767
-4.8429 1.2952 0.9856
Ta Ni
2 6
direct
0.0000 0.3495 0.0000 Ta
0.5000 0.6505 0.5000 Ta
0.0000 0.8414 0.2498 Ni
0.5000 0.1586 0.7498 Ni
0.0000 0.8414 0.7502 Ni
0.5000 0.1586 0.2502 Ni
0.5000 0.6805 0.0000 Ni
0.0000 0.3195 0.5000 Ni
```

**Formation energy from the elements**: -34.4 kJ/mol of atoms